No. 1
# La4Y3MgTe8 (PBE-GGA, relaxed)
# Space group: R-3m
# Uncorrected formation energy (meV per atom): -1370
data_La4Y3MgTe8
_cell_length_a 8.899
_cell_length_b 8.955
_cell_length_c 8.900
_cell_angle_alpha 119.80
_cell_angle_beta 120.00
_cell_angle_gamma 90.00
_symmetry_space_group_name_H-M 'P 1'
_symmetry_Int_Tables_number 1
loop_
_symmetry_equiv_pos_as_xyz
'x,y,z'
loop_
_atom_site_label
_atom_site_fract_x
_atom_site_fract_y
_atom_site_fract_z
Te1 0.762 0.273 0.011
Y1 0.500 0.500 0.500
Mg1 0.000 0.500 0.000
Te2 0.238 0.727 0.476
La1 0.000 0.000 0.500
Te3 0.249 0.273 0.011
La2 0.000 0.000 0.000
La3 0.500 0.000 0.500
Y2 0.000 0.500 0.500
Te4 0.238 0.727 0.989
Te5 0.255 0.266 0.510
Te6 0.762 0.273 0.524
Y3 0.500 0.500 0.000
La4 0.500 0.000 0.000
Te7 0.745 0.734 0.490
Te8 0.751 0.727 0.989

=====

No. 2
# La3Y3MgTe8 (PBE-GGA, relaxed)
# Space group: R-3m
# Uncorrected formation energy (meV per atom): -1400
data_La3Y3MgTe8
_cell_length_a 8.862
_cell_length_b 8.862
_cell_length_c 8.955
_cell_angle_alpha 119.66
_cell_angle_beta 90.00
_cell_angle_gamma 120.00
_symmetry_space_group_name_H-M 'P 1'
_symmetry_Int_Tables_number 1
loop_
_symmetry_equiv_pos_as_xyz
'x,y,z'
loop_
_atom_site_label
_atom_site_fract_x
_atom_site_fract_y
_atom_site_fract_z
Te1 0.255 0.510 0.265
Y1 0.500 0.500 0.500
La1 0.000 0.000 0.000
Te2 0.243 0.486 0.733
Te3 0.745 0.490 0.735
Te4 0.253 0.010 0.267
Y2 0.000 0.500 0.500
La2 0.000 0.500 0.000
Te5 0.243 0.990 0.733
Te6 0.757 0.514 0.267
La3 0.500 0.500 0.000
Y3 0.500 0.000 0.500
Mg1 0.000 0.000 0.500
Te7 0.747 0.990 0.733
Te8 0.757 0.010 0.267

=====

No. 3
# LaThMg17 (PBE-GGA, relaxed)
# Space group: R3m
# ΔH_f (0 K) (eV/f.u.): -0.6
data_LaThMg17
_cell_length_a 7.806
_cell_length_b 7.806
_cell_length_c 7.806
_cell_angle_alpha 82.32
_cell_angle_beta 82.32
_cell_angle_gamma 82.32
_symmetry_space_group_name_H-M 'P 1'
_symmetry_Int_Tables_number 1
loop_
_symmetry_equiv_pos_as_xyz
'x,y,z'
loop_
_atom_site_label
_atom_site_fract_x
_atom_site_fract_y
_atom_site_fract_z
La1 0.668 0.668 0.668
Mg1 0.699 0.300 0.001
Mg2 0.000 0.500 0.000
Mg3 0.001 0.699 0.300
Mg4 0.645 0.164 0.645
Mg5 0.350 0.350 0.845
Mg6 0.902 0.902 0.902
Mg7 0.100 0.100 0.100
Mg8 0.164 0.645 0.645
Mg9 0.300 0.699 0.001
Mg10 0.645 0.645 0.164
Mg11 0.001 0.300 0.699
Th1 0.329 0.329 0.329
Mg12 0.350 0.845 0.350
Mg13 0.500 0.000 0.000
Mg14 0.699 0.001 0.300
Mg15 0.845 0.350 0.350
Mg16 0.000 0.000 0.500
Mg17 0.300 0.001 0.699

=====

No. 4
# LaThMg (PBE-GGA, relaxed)
# Space group: P4/nmm
# ΔH_f (0 K) (eV/f.u.): -0.1
data_LaThMg
_cell_length_a 3.596
_cell_length_b 3.596
_cell_length_c 14.306
_cell_angle_alpha 90.00
_cell_angle_beta 90.00
_cell_angle_gamma 90.00
_symmetry_space_group_name_H-M 'P 1'
_symmetry_Int_Tables_number 1
loop_
_symmetry_equiv_pos_as_xyz
'x,y,z'
loop_
_atom_site_label
_atom_site_fract_x
_atom_site_fract_y
_atom_site_fract_z
Th1 0.500 0.000 0.415
Mg1 0.000 0.500 0.938
La1 0.000 0.500 0.235
La2 0.500 0.000 0.765
Mg2 0.500 0.000 0.062
Th2 0.000 0.500 0.585

=====

No. 5
# La8Th2Mg (PBE-GGA, relaxed)
# Space group: Immm
# ΔH_f (0 K) (eV/f.u.): 1.1
data_La8Th2Mg
_cell_length_a 5.859
_cell_length_b 7.640
_cell_length_c 9.953
_cell_angle_alpha 112.58
_cell_angle_beta 107.12
_cell_angle_gamma 90.00
_symmetry_space_group_name_H-M 'P 1'
_symmetry_Int_Tables_number 1
loop_
_symmetry_equiv_pos_as_xyz
'x,y,z'
loop_
_atom_site_label
_atom_site_fract_x
_atom_site_fract_y
_atom_site_fract_z
La1 0.172 0.172 0.345
Th1 0.811 0.310 0.621
Th2 0.189 0.690 0.379
La2 0.361 0.573 0.722
Mg1 0.500 0.000 0.000
La3 0.361 0.149 0.722
La4 0.000 0.727 0.000
La5 0.639 0.851 0.278
La6 0.000 0.273 0.000
La7 0.639 0.427 0.278
La8 0.828 0.828 0.655

=====

No. 6
# La6Th2Mg (PBE-GGA, relaxed)
# Space group: C2/m
# ΔH_f (0 K) (eV/f.u.): 0.1
data_La6Th2Mg
_cell_length_a 5.160
_cell_length_b 6.330
_cell_length_c 10.835
_cell_angle_alpha 106.85
_cell_angle_beta 90.00
_cell_angle_gamma 114.05
_symmetry_space_group_name_H-M 'P 1'
_symmetry_Int_Tables_number 1
loop_
_symmetry_equiv_pos_as_xyz
'x,y,z'
loop_
_atom_site_label
_atom_site_fract_x
_atom_site_fract_y
_atom_site_fract_z
La1 0.680 0.360 0.390
La2 0.003 0.006 0.837
Th1 0.666 0.333 0.053
La3 0.997 0.994 0.163
Mg1 0.000 0.000 0.500
La4 0.329 0.658 0.268
Th2 0.334 0.667 0.947
La5 0.671 0.342 0.732
La6 0.320 0.640 0.610

=====

No. 7
# LaThMg (PBE-GGA, relaxed)
# Space group: I4mm
# ΔH_f (0 K) (eV/f.u.): 0.1
data_LaThMg
_cell_length_a 3.563
_cell_length_b 3.563
_cell_length_c 7.842
_cell_angle_alpha 103.13
_cell_angle_beta 103.13
_cell_angle_gamma 90.00
_symmetry_space_group_name_H-M 'P 1'
_symmetry_Int_Tables_number 1
loop_
_symmetry_equiv_pos_as_xyz
'x,y,z'
loop_
_atom_site_label
_atom_site_fract_x
_atom_site_fract_y
_atom_site_fract_z
Mg1 0.664 0.664 0.328
La1 0.329 0.329 0.658
Th1 0.007 0.007 0.013

=====

No. 8
# La5ThMg4 (PBE-GGA, relaxed)
# Space group: P4/mmm
# ΔH_f (0 K) (eV/f.u.): -0.7
data_La5ThMg4
_cell_length_a 3.834
_cell_length_b 3.834
_cell_length_c 21.559
_cell_angle_alpha 90.00
_cell_angle_beta 90.00
_cell_angle_gamma 90.00
_symmetry_space_group_name_H-M 'P 1'
_symmetry_Int_Tables_number 1
loop_
_symmetry_equiv_pos_as_xyz
'x,y,z'
loop_
_atom_site_label
_atom_site_fract_x
_atom_site_fract_y
_atom_site_fract_z
La1 0.500 0.500 0.891
Th1 0.000 0.000 0.000
Mg1 0.000 0.000 0.789
Mg2 0.000 0.000 0.211
La2 0.500 0.500 0.310
La3 0.500 0.500 0.109
Mg3 0.000 0.000 0.405
La4 0.500 0.500 0.500
Mg4 0.000 0.000 0.595
La5 0.500 0.500 0.690

=====

No. 9
# LaThMg4 (PBE-GGA, relaxed)
# Space group: F-43m
# ΔH_f (0 K) (eV/f.u.): -0.3
data_LaThMg4
_cell_length_a 6.116
_cell_length_b 6.116
_cell_length_c 6.116
_cell_angle_alpha 60.00
_cell_angle_beta 60.00
_cell_angle_gamma 60.00
_symmetry_space_group_name_H-M 'P 1'
_symmetry_Int_Tables_number 1
loop_
_symmetry_equiv_pos_as_xyz
'x,y,z'
loop_
_atom_site_label
_atom_site_fract_x
_atom_site_fract_y
_atom_site_fract_z
Mg1 0.124 0.625 0.625
Mg2 0.625 0.625 0.124
Mg3 0.625 0.625 0.625
Mg4 0.625 0.124 0.625
Th1 0.000 0.000 0.000
La1 0.250 0.250 0.250

=====

No. 10
# LaTh2Mg6 (PBE-GGA, relaxed)
# Space group: R-3m
# ΔH_f (0 K) (eV/f.u.): -0.2
data_LaTh2Mg6
_cell_length_a 6.277
_cell_length_b 6.277
_cell_length_c 6.277
_cell_angle_alpha 94.17
_cell_angle_beta 94.17
_cell_angle_gamma 94.17
_symmetry_space_group_name_H-M 'P 1'
_symmetry_Int_Tables_number 1
loop_
_symmetry_equiv_pos_as_xyz
'x,y,z'
loop_
_atom_site_label
_atom_site_fract_x
_atom_site_fract_y
_atom_site_fract_z
Mg1 0.833 0.167 0.500
La1 0.000 0.000 0.000
Mg2 0.167 0.500 0.833
Mg3 0.500 0.833 0.167
Th1 0.339 0.339 0.339
Th2 0.661 0.661 0.661
Mg4 0.167 0.833 0.500
Mg5 0.500 0.167 0.833
Mg6 0.833 0.500 0.167

=====

No. 11
# LaThMg (PBE-GGA, relaxed)
# Space group: Cmcm
# ΔH_f (0 K) (eV/f.u.): 0.0
data_LaThMg
_cell_length_a 3.694
_cell_length_b 5.750
_cell_length_c 9.180
_cell_angle_alpha 90.00
_cell_angle_beta 101.61
_cell_angle_gamma 90.00
_symmetry_space_group_name_H-M 'P 1'
_symmetry_Int_Tables_number 1
loop_
_symmetry_equiv_pos_as_xyz
'x,y,z'
loop_
_atom_site_label
_atom_site_fract_x
_atom_site_fract_y
_atom_site_fract_z
La1 0.096 0.250 0.191
La2 0.904 0.750 0.809
Mg1 0.436 0.250 0.873
Th1 0.773 0.250 0.545
Mg2 0.564 0.750 0.127
Th2 0.227 0.750 0.455

=====

No. 12
# La5Th2Mg (PBE-GGA, relaxed)
# Space group: Cmmm
# ΔH_f (0 K) (eV/f.u.): 0.2
data_La5Th2Mg
_cell_length_a 3.647
_cell_length_b 10.001
_cell_length_c 9.665
_cell_angle_alpha 121.16
_cell_angle_beta 112.18
_cell_angle_gamma 90.00
_symmetry_space_group_name_H-M 'P 1'
_symmetry_Int_Tables_number 1
loop_
_symmetry_equiv_pos_as_xyz
'x,y,z'
loop_
_atom_site_label
_atom_site_fract_x
_atom_site_fract_y
_atom_site_fract_z
La1 0.000 0.500 0.000
Th1 0.484 0.742 0.483
Mg1 0.000 0.000 0.000
La2 0.754 0.362 0.253
Th2 0.516 0.258 0.517
La3 0.246 0.638 0.747
La4 0.246 0.109 0.747
La5 0.754 0.891 0.253